This record from Alexandria via LeMat-Bulk describes a geometry-optimized Sc2TaTl structure. The functional is PBE.

a b c (Å): 10.0846 10.0846 10.0846
angles (deg): 18.34 18.34 18.34
Last column: nearest neighbours and their distance in Å.
Atoms (fractional coordinates):
Tl (0.7500, 0.7500, 0.7500)  6 Sc 3.18, 6 Tl 3.21
Sc (0.5035, 0.5035, 0.5035)  3 Ta 3.01, 3 Tl 3.18, 6 Sc 3.21
Sc (0.9965, 0.9965, 0.9965)  3 Ta 3.01, 3 Tl 3.18, 6 Sc 3.21
Ta (0.2500, 0.2500, 0.2500)  6 Sc 3.01, 6 Ta 3.21

Computed properties:
Relative energy among the computed polymorphs: 0.061 eV per atom
Calculated formation energy: 0.026 eV/atom
Space-group type: R-3m, No. 166
Volume: 88.7 Å³/cell
Total energy: -6.69 eV per atom

=====

This record from Alexandria via LeMat-Bulk describes a geometry-optimized Sc2TaTl structure. The functional is PBE.

a b c (Å): 5.4537 5.4537 5.4502
angles (deg): 82.63 82.63 32.79
Last column: nearest neighbours and their distance in Å.
Atoms (fractional coordinates):
Ta (0.4945, 0.4945, 0.4743)  7 Sc 3.01-3.21, 2 Ta 3.08, 3 Tl 3.16-3.32
Sc (0.0111, 0.0111, 0.9852)  3 Sc 3.05-3.08, 4 Ta 3.06-3.21, 3 Tl 3.09-3.10
Sc (0.2384, 0.2384, 0.2815)  3 Ta 3.01-3.04, 3 Sc 3.05-3.08, 4 Tl 3.05-3.22
Tl (0.7560, 0.7560, 0.7590)  7 Sc 3.05-3.22, 2 Tl 3.08, 3 Ta 3.16-3.32

Computed properties:
Relative energy among the computed polymorphs: 0.136 eV per atom
Calculated formation energy: 0.101 eV/atom
Space-group type: Cm, No. 8
Volume: 87.0 Å³/cell
Total energy: -6.62 eV per atom

=====

This record from Alexandria via LeMat-Bulk describes a geometry-optimized ScTaTl2 structure. The functional is PBE.

a b c (Å): 10.1418 10.1418 10.1418
angles (deg): 18.22 18.22 18.22
Last column: nearest neighbours and their distance in Å.
Atoms (fractional coordinates):
Tl (0.4986, 0.4986, 0.4986)  3 Ta 3.07, 3 Sc 3.14, 6 Tl 3.21
Tl (0.0014, 0.0014, 0.0014)  3 Ta 3.07, 3 Sc 3.14, 6 Tl 3.21
Ta (0.7500, 0.7500, 0.7500)  6 Tl 3.07, 6 Ta 3.21
Sc (0.2500, 0.2500, 0.2500)  6 Tl 3.14, 6 Sc 3.21

Computed properties:
Calculated formation energy: 0.253 eV/atom
Space-group type: R-3m, No. 166
Volume: 89.1 Å³/cell
Total energy: -5.48 eV per atom

=====

This record from Alexandria via LeMat-Bulk describes a geometry-optimized ScTa2Tl structure. The functional is PBE.

a b c (Å): 5.1465 5.1465 5.5330
angles (deg): 83.02 83.02 34.26
Last column: nearest neighbours and their distance in Å.
Atoms (fractional coordinates):
Tl (0.4948, 0.4948, 0.4931)  3 Sc 2.94-3.05, 2 Tl 3.03, 7 Ta 3.08-3.21
Ta (0.7523, 0.7523, 0.7751)  5 Ta 2.89-3.03, 2 Sc 3.04, 3 Tl 3.08-3.14
Ta (0.0082, 0.0082, 0.9794)  5 Ta 2.89-3.03, 3 Sc 2.93-3.21, 4 Tl 3.11-3.21
Sc (0.2446, 0.2446, 0.2525)  7 Ta 2.93-3.27, 3 Tl 2.94-3.05, 2 Sc 3.03

Computed properties:
Relative energy among the computed polymorphs: 0.200 eV per atom
Calculated formation energy: 0.283 eV/atom
Space-group type: Cm, No. 8
Volume: 81.8 Å³/cell
Total energy: -7.82 eV per atom